[1]
{
  "formula": "SrLa2Be",
  "functional": "PBE",
  "state": "optimized geometry",
  "dos_ef_per_ev_atom": 1.10,
  "crystal_system": "monoclinic",
  "e_form_ev_per_fu": 1.43,
  "mass_density_g_cm3": 4.8,
  "cell": [[4.065, 0.000, 0.000], [0.000, 5.073, 0.000], [-1.890, 0.000, 6.324]],
  "species": ["Sr", "La", "La", "Be"],
  "fractional_positions": [[0.000, 0.000, 0.000], [0.319, 0.500, 0.697], [0.681, 0.500, 0.303], [0.500, 0.000, 0.500]]
}

***

[2]
{
  "formula": "KLiInCl6",
  "functional": "PBE",
  "state": "optimized geometry",
  "e_form_raw_ev_per_atom": -1.231,
  "dos_ef_per_ev_atom": 1.38,
  "crystal_system": "monoclinic",
  "mass_density_g_cm3": 2.3,
  "cell": [[3.258, -5.683, 0.000], [3.258, 5.683, 0.000], [-0.011, 0.000, 7.202]],
  "species": ["K", "Li", "In", "Cl", "Cl", "Cl", "Cl", "Cl", "Cl"],
  "fractional_positions": [[0.000, 0.000, 0.000], [0.335, 0.665, 0.500], [0.666, 0.334, 0.500], [0.367, 0.001, 0.293], [0.370, 0.366, 0.707], [0.634, 0.630, 0.293], [0.635, 0.004, 0.707], [0.996, 0.365, 0.293], [0.999, 0.633, 0.707]]
}

***

[3]
{
  "formula": "Ho4CdHg2",
  "functional": "PBE",
  "state": "optimized geometry",
  "dos_ef_per_ev_atom": 1.65,
  "crystal_system": "trigonal",
  "e_form_ev_per_fu": -0.77,
  "relative_energy_mev_per_atom": 159,
  "mass_density_g_cm3": 9.4,
  "cell": [[2.518, 1.454, 9.475], [-2.518, 1.454, 9.475], [0.000, -2.907, 9.475]],
  "species": ["Ho", "Ho", "Ho", "Ho", "Cd", "Hg", "Hg"],
  "fractional_positions": [[0.121, 0.121, 0.121], [0.294, 0.294, 0.294], [0.706, 0.706, 0.706], [0.879, 0.879, 0.879], [0.500, 0.500, 0.500], [0.400, 0.400, 0.400], [0.600, 0.600, 0.600]]
}

***

[4]
{
  "formula": "BiPd4Pb",
  "functional": "PBE",
  "state": "optimized geometry",
  "dos_ef_per_ev_atom": 0.40,
  "crystal_system": "monoclinic",
  "e_form_ev_per_fu": -1.38,
  "relative_energy_mev_per_atom": 0,
  "mass_density_g_cm3": 12.4,
  "cell": [[4.668, -1.809, 0.000], [4.668, 1.809, 0.000], [-2.704, 0.000, 6.694]],
  "species": ["Bi", "Pd", "Pd", "Pd", "Pd", "Pb"],
  "fractional_positions": [[0.000, 0.000, 0.000], [0.329, 0.329, 0.167], [0.331, 0.331, 0.661], [0.669, 0.669, 0.339], [0.671, 0.671, 0.833], [0.000, 0.000, 0.500]]
}

***

[5]
{
  "formula": "Ba2AuSe",
  "functional": "PBE",
  "state": "optimized geometry",
  "e_form_raw_ev_per_atom": -1.283,
  "dos_ef_per_ev_atom": 0.76,
  "crystal_system": "monoclinic",
  "mass_density_g_cm3": 6.0,
  "cell": [[4.068, -2.347, 0.000], [4.068, 2.347, 0.000], [-2.702, 0.000, 7.988]],
  "species": ["Ba", "Ba", "Au", "Se"],
  "fractional_positions": [[0.248, 0.248, 0.244], [0.752, 0.752, 0.756], [0.000, 0.000, 0.500], [0.500, 0.500, 0.000]]
}

***

[6]
{
  "formula": "Li2YBr",
  "functional": "PBE",
  "state": "optimized geometry",
  "e_form_raw_ev_per_atom": -0.251,
  "dos_ef_per_ev_atom": 0.79,
  "crystal_system": "tetragonal",
  "relative_energy_mev_per_atom": 284,
  "mass_density_g_cm3": 3.3,
  "cell": [[-2.134, 2.134, 5.116], [2.134, -2.134, 5.116], [2.134, 2.134, -5.116]],
  "species": ["Li", "Li", "Y", "Br"],
  "fractional_positions": [[0.000, 0.000, 0.000], [0.750, 0.250, 0.500], [0.250, 0.750, 0.500], [0.500, 0.500, 0.000]]
}

***

[7]
{
  "formula": "Ac4Cu3HgO12",
  "functional": "PBE",
  "state": "optimized geometry",
  "e_form_raw_ev_per_atom": -1.853,
  "dos_ef_per_ev_atom": 0.16,
  "crystal_system": "cubic",
  "mass_density_g_cm3": 9.5,
  "cell": [[-4.030, 4.030, 4.030], [4.030, -4.030, 4.030], [4.030, 4.030, -4.030]],
  "species": ["Ac", "Ac", "Ac", "Ac", "Cu", "Cu", "Cu", "Hg", "O", "O", "O", "O", "O", "O", "O", "O", "O", "O", "O", "O"],
  "fractional_positions": [[0.000, 0.000, 0.500], [0.000, 0.500, 0.000], [0.500, 0.000, 0.000], [0.500, 0.500, 0.500], [0.000, 0.500, 0.500], [0.500, 0.000, 0.500], [0.500, 0.500, 0.000], [0.000, 0.000, 0.000], [0.000, 0.268, 0.268], [0.000, 0.732, 0.732], [0.250, 0.500, 0.750], [0.250, 0.750, 0.500], [0.268, 0.000, 0.268], [0.268, 0.268, 0.000], [0.500, 0.250, 0.750], [0.500, 0.750, 0.250], [0.732, 0.000, 0.732], [0.732, 0.732, 0.000], [0.750, 0.250, 0.500], [0.750, 0.500, 0.250]]
}

***

[8]
{
  "formula": "Y5Pt4",
  "functional": "PBE",
  "state": "optimized geometry",
  "dos_ef_per_ev_atom": 0.65,
  "crystal_system": "tetragonal",
  "e_form_ev_per_fu": -6.14,
  "relative_energy_mev_per_atom": 470,
  "mass_density_g_cm3": 10.1,
  "cell": [[-4.451, 4.451, 2.546], [4.451, -4.451, 2.546], [4.451, 4.451, -2.546]],
  "species": ["Y", "Y", "Y", "Y", "Y", "Pt", "Pt", "Pt", "Pt"],
  "fractional_positions": [[0.000, 0.000, 0.000], [0.317, 0.317, 0.633], [0.317, 0.683, 0.000], [0.683, 0.317, 0.000], [0.683, 0.683, 0.367], [0.000, 0.334, 0.334], [0.000, 0.666, 0.666], [0.334, 0.000, 0.334], [0.666, 0.000, 0.666]]
}